RbMoRu2Br (PBE, relaxed); D(E_F) = 2.4186 states/eV/atom; theoretical density = 6.404 g cm⁻³; total energy = -3.3086 eV/atom; formation energy from raw total energies = 1494 kJ/mol of formula units; SG = P4/mmm, No. 123
1.0
4.681 0.000 0.000
0.000 5.485 0.000
0.000 0.000 4.681
Ru Rb Br Mo
2 1 1 1
Direct
0.500 0.000 0.000
0.000 0.000 0.500
0.000 0.000 0.000
0.000 0.500 0.000
0.500 0.500 0.500